The following is a PBE+U calculation of crystalline Pm2MoHO6 at its relaxed geometry, from Alexandria via LeMat-Bulk.

As for the total energy: -7.3681 eV/atom.

It has space group P2_1/c (No. 14), with a = 6.0460 Å, b = 6.7817 Å, c = 7.7204 Å, α = 90.00°, β = 126.60° and γ = 90.00°. Symmetry generates all atoms from Pm at (0.1618, 0.1005, 0.3613), Mo at (0.5000, 0.0000, 0.0000), H at (0.0000, 0.0000, 0.0000), O at (0.1848, 0.0802, 0.0144), O at (0.2344, 0.0638, 0.7005) and O at (0.3638, 0.7123, 0.9331).